TiVTe2O after structural relaxation. Source: the Alexandria database, functional PBE with a Hubbard U.

abc: 5.5024 3.7043 5.5024
angles: 90.00 90.00 90.00
Last column: magnetic moment on the atom in μB.
Fractional coordinates of all 5 atoms:
V (0.5000, 0.5000, 0.5000)  2.93
Ti (0.0000, 0.0000, 0.0000)  -0.03
Te (0.5000, 0.0000, 0.0000)  -0.13
O (0.0000, 0.5000, 0.0000)  0.00
Te (0.0000, 0.0000, 0.5000)  -0.13

## Properties
Symmetry: P4/mmm (123)
Crystal system: tetragonal
Magnetic moment (μB/f.u.): 2.99
Electronic total energy (eV per atom): -5.9476